This record from Alexandria describes Li2NiPt after structural relaxation. The functional is PBE.

## Properties
excess energy over the best structure of this formula in the dataset: 4.41 kcal/mol of atoms

Unit cell a=2.894 b=2.894 c=6.324 alpha=90.00 beta=90.00 gamma=90.00
Space group P4mm (No. 99)
Symmetry-distinct sites (fractional):
Li 0.000 0.000 0.000 x1
Li 0.500 0.500 0.275 x1
Ni 0.000 0.000 0.504 x1
Pt 0.500 0.500 0.755 x1

=====

This record from Alexandria describes LiNiPt2 after structural relaxation. The functional is PBE.

Unit cell a=2.724 b=4.382 c=4.452 alpha=90.00 beta=90.00 gamma=90.00
Space group Pmm2 (No. 25)
Symmetry-distinct sites (fractional):
Li 0.000 0.000 0.000 x1
Ni 0.000 0.500 0.584 x1
Pt 0.500 0.000 0.505 x1
Pt 0.500 0.500 0.078 x1

=====

This record from Alexandria describes LiNiPt3 after structural relaxation. The functional is PBE.

## Properties
excess energy over the best structure of this formula in the dataset: 0.00 kcal/mol of atoms

Unit cell a=7.5780 b=7.5780 c=7.0354 alpha=90.00 beta=90.00 gamma=120.00
Space group P-31m (No. 162)
Symmetry-distinct sites (fractional):
Li 0.0000 0.0000 0.1921 x2
Ni 0.3333 0.6667 0.0000 x2
Pt 0.0000 0.3311 0.9964 x6

=====

This record from Alexandria describes LiNiPt2 after structural relaxation. The functional is PBE.

Unit cell a=3.769 b=3.769 c=17.128 alpha=90.00 beta=90.00 gamma=90.00
Space group I-42d (No. 122)
Symmetry-distinct sites (fractional):
Li 0.000 0.000 0.000 x4
Ni 0.000 0.000 0.500 x4
Pt 0.249 0.250 0.625 x8

=====

| no. | magnetic moment (μB per formula unit) | energy (eV/atom) | theoretical density (g cm⁻³) |
| --- | --- | --- | --- |
| 1 | 0.41 | -4.081 | 8.39 |
| 2 | 0.00 | -5.270 | 14.24 |
| 3 | 1.78 | -4.754 | 6.18 |
| 4 | 0.94 | -4.902 | 12.45 |